Here is an optimized crystal structure of BaPmCoO3 from Alexandria. Energies are from GGA+U.

Cell: 3.6426 6.2618 9.1132 Å, 90.00 90.00 106.91°
With the nearest neighbours (Å) after each atom.
Positions (direct):
Pm 0.0000 0.0000 0.5000  6 O 2.41-2.44
Pm 0.0000 0.0000 0.0000  6 O 2.41-2.44
O 0.3786 0.7572 0.5692  1 Co 2.11
O 0.6214 0.2428 0.0692  1 Co 2.11
O 0.3786 0.7572 0.9308  1 Co 2.11
O 0.9261 0.8522 0.2500  2 Co 2.09
O 0.0739 0.1478 0.7500  2 Co 2.09
O 0.6214 0.2428 0.4308  1 Co 2.11
Co 0.5111 0.0223 0.2500  4 O 2.09-2.11
Co 0.4889 0.9777 0.7500  4 O 2.09-2.11
Ba 0.2470 0.4940 0.2500  6 O 2.81-2.88
Ba 0.7530 0.5060 0.7500  6 O 2.81-2.88

Calculated values
**E_tot**: -79.54 eV per cell
**N(E_F)**: 0.89 states/eV/cell
**M_tot**: 4.00 μB per cell